Computed, not measured: an optimized crystal structure of Sm3TaO7 at the GGA-PBEsol level of DFT.

Results
Space-group type   Cmcm, No. 63
Polymorph energy (0 for the lowest one)   0.012 eV/atom
Total energy   -9.2411 eV/atom
Formation energy from raw total energies   -3.371 eV/atom

a b c (Å): 6.5127 6.5127 7.5595
angles (deg): 90.00 90.00 111.21
Positions (direct):
Sm 0.0683 0.5215 0.7500
Sm 0.4785 0.9317 0.2500
Sm 0.0000 0.0000 0.0000
Sm 0.0000 0.0000 0.5000
Sm 0.9317 0.4785 0.2500
Sm 0.5215 0.0683 0.7500
Ta 0.5000 0.5000 0.0000
Ta 0.5000 0.5000 0.5000
O 0.1542 0.8921 0.7500
O 0.1079 0.8458 0.2500
O 0.5627 0.8185 0.9637
O 0.5627 0.8185 0.5363
O 0.1815 0.4373 0.0363
O 0.1815 0.4373 0.4637
O 0.5757 0.5757 0.2500
O 0.4243 0.4243 0.7500
O 0.8185 0.5627 0.9637
O 0.4373 0.1815 0.4637
O 0.4373 0.1815 0.0363
O 0.8185 0.5627 0.5363
O 0.8458 0.1079 0.2500
O 0.8921 0.1542 0.7500